CsKTcSeS2 | OQMD | PBE-GGA | relaxed; calculated density = 3.5 g/cm³; symmetry = P-1; electronic total energy = -0.3537 Ry per atom; total magnetization = 1.0 μB per formula unit
1.0
7.094 0.000 0.000
3.399 7.025 0.000
3.357 0.747 7.947
S Cs Tc Se K
4 2 2 2 2
Cartesian
8.472 6.633 7.093 S
5.378 1.139 0.855 S
7.000 0.468 4.085 S
6.850 7.304 3.862 S
5.283 4.302 2.393 Cs
8.567 3.470 5.555 Cs
8.734 6.891 2.672 Tc
5.116 0.881 5.275 Tc
5.004 3.176 5.913 Se
8.846 4.596 2.034 Se
12.133 6.395 6.845 K
1.717 1.377 1.103 K

=====

CsKTcSe3 | OQMD | PBE-GGA | relaxed; calculated density = 3.9 g/cm³; symmetry = P-1; energy above the most stable polymorph in this dataset = 0 meV/atom; total magnetization = 2.0 μB per formula unit
1.0
-1.931 -6.934 -1.359
5.422 -4.645 -3.637
1.312 -5.584 6.948
Se Tc Cs K
6 2 2 2
Cartesian
3.313 -10.915 2.114 Se
4.591 -12.749 -1.154 Se
3.173 -9.924 -3.387 Se
1.489 -6.248 -0.161 Se
1.629 -7.239 5.340 Se
0.212 -4.414 3.107 Se
5.109 -11.145 0.589 Tc
-0.307 -6.017 1.364 Tc
0.920 -9.866 -0.541 Cs
3.883 -7.297 2.495 Cs
4.013 -6.452 -2.415 K
0.789 -10.711 4.368 K